This record from OQMD via LeMat-Bulk describes crystalline DyTmCS at its relaxed geometry. The functional is PBE.

It has space group P-3m1 (No. 164), with a = 3.6738 Å, b = 3.6738 Å, c = 12.7925 Å, α = 90.00°, β = 90.00° and γ = 120.00°. The asymmetric unit holds Dy at (0.3333, 0.6667, 0.1057), Tm at (0.3333, 0.6667, 0.3980), C at (0.0000, 0.0000, 0.0000), C at (0.0000, 0.0000, 0.5000) and S at (0.3333, 0.6667, 0.7462).

As for the final energy: -6.8867 eV per atom. The total magnetization comes out at 0.00 μB/atom.

***

This record from OQMD via LeMat-Bulk describes crystalline Co10W3 at its relaxed geometry. The functional is PBE.

It has space group R-3m (No. 166, hexagonal axes), with a = 4.6560 Å, b = 4.6560 Å, c = 25.1238 Å, α = 90.00°, β = 90.00° and γ = 120.00°. The asymmetric unit holds Co at (0.0000, 0.0000, 0.0470), Co at (0.0000, 0.0000, 0.1481), Co at (0.0103, 0.5051, 0.9113), W at (0.0000, 0.0000, 0.3369) and W at (0.0000, 0.0000, 0.5000).

As for the final energy: -8.2990 eV per atom. The total magnetization comes out at 0.93 μB/atom. As for the energy above the lowest structure with this stoichiometry: 18 meV per atom. Its energy of formation from the pure elements is 0.16 eV per atom.

***

This record from OQMD via LeMat-Bulk describes crystalline ZnSnO3 at its relaxed geometry. The functional is PBE.

It has space group Pm-3m (No. 221), with a = 3.991 Å, b = 3.991 Å, c = 3.991 Å, α = 90.00°, β = 90.00° and γ = 90.00°. The asymmetric unit holds Zn at (0.000, 0.000, 0.000), Sn at (0.500, 0.500, 0.500) and O at (0.000, 0.500, 0.500).

As for the final energy: -4.8725 eV per atom.

***

This record from OQMD via LeMat-Bulk describes crystalline Er2Tl2O5 at its relaxed geometry. The functional is PBE.

It has space group P4/mmm (No. 123), with a = 4.132 Å, b = 4.132 Å, c = 8.442 Å, α = 90.00°, β = 90.00° and γ = 90.00°. The asymmetric unit holds Er at (0.000, 0.000, 0.247), Tl at (0.500, 0.500, 0.000), Tl at (0.500, 0.500, 0.500), O at (0.000, 0.000, 0.500) and O at (0.000, 0.500, 0.165).

As for the final energy: -6.4010 eV per atom. The total magnetization comes out at 0.00 μB/atom. As for the energy above the lowest structure with this stoichiometry: 0 meV per atom.

***

This record from OQMD via LeMat-Bulk describes crystalline BaHfPb at its relaxed geometry. The functional is PBE.

It has space group F-43m (No. 216), with a = 7.473 Å, b = 7.473 Å, c = 7.473 Å, α = 90.00°, β = 90.00° and γ = 90.00°. The asymmetric unit holds Ba at (0.000, 0.000, 0.000), Hf at (0.250, 0.250, 0.250) and Pb at (0.000, 0.000, 0.500).

As for the final energy: -4.5285 eV per atom. The total magnetization comes out at 0.55 μB/atom.

***

This record from OQMD via LeMat-Bulk describes crystalline Li2CuB at its relaxed geometry. The functional is PBE.

It has space group F-43m (No. 216), with a = 5.386 Å, b = 5.386 Å, c = 5.386 Å, α = 90.00°, β = 90.00° and γ = 90.00°. The asymmetric unit holds Li at (0.000, 0.000, 0.000), Li at (0.250, 0.250, 0.250), Cu at (0.250, 0.250, 0.750) and B at (0.000, 0.000, 0.500).

As for the final energy: -3.3478 eV per atom.

***

This record from OQMD via LeMat-Bulk describes crystalline Nd2GdMg3InGa2 at its relaxed geometry. The functional is PBE.

It has space group Amm2 (No. 38), with a = 4.626 Å, b = 12.889 Å, c = 7.498 Å, α = 90.00°, β = 90.00° and γ = 90.00°. The asymmetric unit holds Nd at (0.000, 0.218, 0.000), Gd at (0.000, 0.000, 0.653), Mg at (0.500, 0.000, 0.969), Mg at (0.500, 0.124, 0.344), In at (0.000, 0.000, 0.222) and Ga at (0.500, 0.164, 0.718).

As for the final energy: -3.5379 eV per atom. The total magnetization comes out at 0.00 μB/atom.

***

This record from OQMD via LeMat-Bulk describes crystalline PmZnO3 at its relaxed geometry. The functional is PBE.

It has space group R-3 (No. 148, hexagonal axes), with a = 5.5315 Å, b = 5.5315 Å, c = 14.7070 Å, α = 90.00°, β = 90.00° and γ = 120.00°. The asymmetric unit holds Pm at (0.0000, 0.0000, 0.1290), Zn at (0.0000, 0.0000, 0.3484) and O at (0.0236, 0.3992, 0.9202).

As for the final energy: -6.1316 eV per atom. The total magnetization comes out at 0.00 μB/atom.

***

This record from OQMD via LeMat-Bulk describes crystalline Li4In2PtAu at its relaxed geometry. The functional is PBE.

It has space group P-4m2 (No. 115), with a = 4.542 Å, b = 4.542 Å, c = 6.429 Å, α = 90.00°, β = 90.00° and γ = 90.00°. The asymmetric unit holds Li at (0.000, 0.000, 0.000), Li at (0.000, 0.500, 0.247), Li at (0.500, 0.500, 0.500), In at (0.000, 0.500, 0.761), Pt at (0.500, 0.500, 0.000) and Au at (0.000, 0.000, 0.500).

As for the final energy: -3.3283 eV per atom. The total magnetization comes out at 0.00 μB/atom.

***

This record from OQMD via LeMat-Bulk describes crystalline NbZnFe at its relaxed geometry. The functional is PBE.

It has space group F-43m (No. 216), with a = 5.773 Å, b = 5.773 Å, c = 5.773 Å, α = 90.00°, β = 90.00° and γ = 90.00°. The asymmetric unit holds Nb at (0.000, 0.000, 0.000), Zn at (0.000, 0.000, 0.500) and Fe at (0.250, 0.250, 0.250).

As for the final energy: -6.2106 eV per atom. The total magnetization comes out at 0.21 μB/atom. Its energy of formation from the pure elements is 0.35 eV per atom.

***

This record from OQMD via LeMat-Bulk describes crystalline TaGaO3 at its relaxed geometry. The functional is PBE.

It has space group R-3 (No. 148, hexagonal axes), with a = 5.3845 Å, b = 5.3845 Å, c = 16.9482 Å, α = 90.00°, β = 90.00° and γ = 120.00°. The asymmetric unit holds Ta at (0.0000, 0.0000, 0.1562), Ga at (0.0000, 0.0000, 0.3626) and O at (0.0081, 0.6085, 0.4334).

As for the final energy: -8.0770 eV per atom. The total magnetization comes out at 0.00 μB/atom.

***

This record from OQMD via LeMat-Bulk describes crystalline KThTlS3 at its relaxed geometry. The functional is PBE.

It has space group Cmcm (No. 63), with a = 4.194 Å, b = 15.987 Å, c = 11.745 Å, α = 90.00°, β = 90.00° and γ = 90.00°. The asymmetric unit holds K at (0.000, 0.156, 0.250), Th at (0.000, 0.500, 0.000), Tl at (0.000, 0.139, 0.750), S at (0.000, 0.112, 0.004) and S at (0.000, 0.492, 0.250).

As for the final energy: -5.2396 eV per atom. The total magnetization comes out at 0.00 μB/atom.

***

This record from OQMD via LeMat-Bulk describes crystalline CuAgSbPd at its relaxed geometry. The functional is PBE.

It has space group F-43m (No. 216), with a = 6.505 Å, b = 6.505 Å, c = 6.505 Å, α = 90.00°, β = 90.00° and γ = 90.00°. The asymmetric unit holds Cu at (0.000, 0.000, 0.000), Ag at (0.250, 0.250, 0.250), Sb at (0.250, 0.250, 0.750) and Pd at (0.000, 0.000, 0.500).

As for the final energy: -4.0651 eV per atom. As for the energy above the lowest structure with this stoichiometry: 0 meV per atom.

***

This record from OQMD via LeMat-Bulk describes crystalline CuGe5Au3 at its relaxed geometry. The functional is PBE.

It has space group P6/mmm (No. 191), with a = 5.5365 Å, b = 5.5365 Å, c = 7.3498 Å, α = 90.00°, β = 90.00° and γ = 120.00°. The asymmetric unit holds Cu at (0.0000, 0.0000, 0.0000), Ge at (0.0000, 0.0000, 0.5000), Ge at (0.3333, 0.6667, 0.1805) and Au at (0.0000, 0.5000, 0.5000).

As for the final energy: -3.5948 eV per atom.

***

This record from OQMD via LeMat-Bulk describes crystalline NdY2S3 at its relaxed geometry. The functional is PBE.

It has space group P-3m1 (No. 164), with a = 3.9507 Å, b = 3.9507 Å, c = 9.7749 Å, α = 90.00°, β = 90.00° and γ = 120.00°. The asymmetric unit holds Nd at (0.0000, 0.0000, 0.0000), Y at (0.3333, 0.6667, 0.6641), S at (0.0000, 0.0000, 0.5000) and S at (0.3333, 0.6667, 0.1784).

As for the final energy: -7.0221 eV per atom. The total magnetization comes out at 0.00 μB/atom.

***

This record from OQMD via LeMat-Bulk describes crystalline Sr2NbIrO6 at its relaxed geometry. The functional is PBE.

It has space group Fm-3m (No. 225), with a = 8.008 Å, b = 8.008 Å, c = 8.008 Å, α = 90.00°, β = 90.00° and γ = 90.00°. The asymmetric unit holds Sr at (0.250, 0.250, 0.250), Nb at (0.000, 0.000, 0.000), Ir at (0.000, 0.000, 0.500) and O at (0.000, 0.000, 0.248).

As for the final energy: -7.4892 eV per atom. The total magnetization comes out at 0.00 μB/atom. As for the energy above the lowest structure with this stoichiometry: 0 meV per atom.

***

This record from OQMD via LeMat-Bulk describes crystalline GdDy2TmIn2 at its relaxed geometry. The functional is PBE.

It has space group P-6m2 (No. 187), with a = 5.3832 Å, b = 5.3832 Å, c = 6.7240 Å, α = 90.00°, β = 90.00° and γ = 120.00°. The asymmetric unit holds Gd at (0.0000, 0.0000, 0.0000), Dy at (0.6667, 0.3333, 0.2541), Tm at (0.3333, 0.6667, 0.5000), In at (0.0000, 0.0000, 0.5000) and In at (0.3333, 0.6667, 0.0000).

As for the final energy: -4.3180 eV per atom. The total magnetization comes out at 0.15 μB/atom.

***

This record from OQMD via LeMat-Bulk describes crystalline Ta2MoAs at its relaxed geometry. The functional is PBE.

It has space group F-43m (No. 216), with a = 6.443 Å, b = 6.443 Å, c = 6.443 Å, α = 90.00°, β = 90.00° and γ = 90.00°. The asymmetric unit holds Ta at (0.000, 0.000, 0.000), Ta at (0.250, 0.250, 0.250), Mo at (0.250, 0.250, 0.750) and As at (0.000, 0.000, 0.500).

As for the final energy: -9.6347 eV per atom. The total magnetization comes out at 0.00 μB/atom.

***

This record from OQMD via LeMat-Bulk describes crystalline Tb3Zn3Ir2Au at its relaxed geometry. The functional is PBE.

It has space group P-62m (No. 189), with a = 7.3259 Å, b = 7.3259 Å, c = 3.8452 Å, α = 90.00°, β = 90.00° and γ = 120.00°. The asymmetric unit holds Tb at (0.0000, 0.5905, 0.0000), Zn at (0.0000, 0.2660, 0.5000), Ir at (0.3333, 0.6667, 0.5000) and Au at (0.0000, 0.0000, 0.0000).

As for the final energy: -4.9957 eV per atom. The total magnetization comes out at 0.00 μB/atom. Its energy of formation from the pure elements is -0.70 eV per atom.

***

This record from OQMD via LeMat-Bulk describes crystalline Bi2W at its relaxed geometry. The functional is PBE.

It has space group I4/mcm (No. 140), with a = 7.152 Å, b = 7.152 Å, c = 5.651 Å, α = 90.00°, β = 90.00° and γ = 90.00°. The asymmetric unit holds Bi at (0.157, 0.343, 0.000) and W at (0.000, 0.000, 0.250).

As for the final energy: -6.4029 eV per atom. The total magnetization comes out at 0.00 μB/atom. As for the energy above the lowest structure with this stoichiometry: 124 meV per atom.

***

This record from OQMD via LeMat-Bulk describes crystalline ScGaSiPt at its relaxed geometry. The functional is PBE.

It has space group Cmc2_1 (No. 36), with a = 4.200 Å, b = 9.791 Å, c = 6.409 Å, α = 90.00°, β = 90.00° and γ = 90.00°. The asymmetric unit holds Sc at (0.000, 0.081, 0.000), Ga at (0.000, 0.388, 0.198), Si at (0.000, 0.363, 0.793) and Pt at (0.000, 0.205, 0.488).

As for the final energy: -6.0686 eV per atom. The total magnetization comes out at 0.00 μB/atom. As for the energy above the lowest structure with this stoichiometry: 15 meV per atom.

***

This record from OQMD via LeMat-Bulk describes crystalline HfAlMo2 at its relaxed geometry. The functional is PBE.

It has space group F-43m (No. 216), with a = 6.467 Å, b = 6.467 Å, c = 6.467 Å, α = 90.00°, β = 90.00° and γ = 90.00°. The asymmetric unit holds Hf at (0.000, 0.000, 0.000), Al at (0.250, 0.250, 0.750), Mo at (0.000, 0.000, 0.500) and Mo at (0.250, 0.250, 0.250).

As for the final energy: -8.9410 eV per atom. The total magnetization comes out at 0.00 μB/atom.

***

This record from OQMD via LeMat-Bulk describes crystalline CsGd2CuTe3S at its relaxed geometry. The functional is PBE.

It has space group Cmcm (No. 63), with a = 4.281 Å, b = 15.266 Å, c = 15.560 Å, α = 90.00°, β = 90.00° and γ = 90.00°. The asymmetric unit holds Cs at (0.000, 0.120, 0.250), Gd at (0.000, 0.382, 0.059), Cu at (0.000, 0.166, 0.750), Te at (0.000, 0.255, 0.604), Te at (0.000, 0.432, 0.250) and S at (0.000, 0.000, 0.000).

As for the final energy: -4.6317 eV per atom. The total magnetization comes out at 0.00 μB/atom. As for the energy above the lowest structure with this stoichiometry: 53 meV per atom.

***

This record from OQMD via LeMat-Bulk describes crystalline Nd2I at its relaxed geometry. The functional is PBE.

It has space group Fm-3m (No. 225), with a = 7.437 Å, b = 7.437 Å, c = 7.437 Å, α = 90.00°, β = 90.00° and γ = 90.00°. The asymmetric unit holds Nd at (0.250, 0.250, 0.250) and I at (0.000, 0.000, 0.000).

As for the final energy: -3.8963 eV per atom. The total magnetization comes out at 0.00 μB/atom. As for the energy above the lowest structure with this stoichiometry: 345 meV per atom.

***

This record from OQMD via LeMat-Bulk describes crystalline Na2NiN at its relaxed geometry. The functional is PBE.

It has space group I-42d (No. 122), with a = 9.710 Å, b = 9.710 Å, c = 3.489 Å, α = 90.00°, β = 90.00° and γ = 90.00°. The asymmetric unit holds Na at (0.014, 0.750, 0.125), Ni at (0.000, 0.000, 0.500) and N at (0.000, 0.000, 0.000).

As for the final energy: -4.2180 eV per atom. The total magnetization comes out at 0.00 μB/atom.